A plane-wave DFT calculation with PBE+U was carried out for crystalline YbNiO3 at its relaxed geometry.

As for the total DFT energy (no corrections): -26.9 eV/f.u. The magnetic moment is 0.000 μB per atom.

It has space group Pm-3m (No. 221), with a = 3.727 Å, b = 3.727 Å, c = 3.727 Å, α = 90.00°, β = 90.00° and γ = 90.00°. The inequivalent atoms are Yb at (0.000, 0.000, 0.000), Ni at (0.500, 0.500, 0.500) and O at (0.000, 0.500, 0.500).